# CoCu2IrO8

Crystalline CoCu2IrO8 at its relaxed geometry (PBE with a Hubbard U, the Alexandria database).

Geometry as extended XYZ:
```
12
Lattice="-5.010 1.790 -1.456 0.140 -5.256 -1.667 0.858 0.464 5.428" Properties=species:S:1:pos:R:3 pbc="T T T"
O -4.560 0.357 -0.174
O -4.198 -1.382 1.192
O -1.797 -2.434 2.440
Ir -0.719 -3.262 1.100
Cu -3.293 0.260 1.206
O -4.264 -2.025 -1.449
O -1.454 0.624 1.181
O -0.746 0.389 3.795
O -1.217 -1.932 -0.176
Co 0.000 0.000 0.000
Cu -2.435 -1.733 -1.561
O -2.961 1.442 2.623
```

Results
VASP energy ... -0.3957 Ry per atom
Space group ... I-4m2, No. 119